No. 1
First-principles (GGA-PBE) data for NaSbSe after structural relaxation, as listed in the Alexandria database.

```
NaSbSe
1.0
4.236 0.011 -0.026
2.098 5.124 0.591
0.036 1.774 9.057
Sb Se Na
2 2 2
direct
0.789 0.867 0.982
0.401 0.642 0.840
0.223 0.997 0.568
0.967 0.511 0.254
0.498 0.450 0.513
0.692 0.058 0.309
```

Calculated values
SG   P-1
Magnetization   0.0 μB/cell
Formation energy without anion corrections   -158 kJ/mol of formula units

***

No. 2
First-principles (GGA-PBE) data for TiNb5W4 after structural relaxation, as listed in the Alexandria database.

```
TiNb5W4
1.0
3.242 0.000 0.000
0.000 3.242 0.000
0.000 0.000 16.327
Nb W Ti
5 4 1
direct
0.500 0.500 0.104
0.500 0.500 0.301
0.500 0.500 0.896
0.500 0.500 0.500
0.500 0.500 0.699
0.000 0.000 0.200
0.000 0.000 0.599
0.000 0.000 0.800
0.000 0.000 0.401
0.000 0.000 0.000
```

Calculated values
DFT formation energy   -0.222 eV/f.u.
SG   P4/mmm
Magnetization   0.0 μB/cell

***

No. 3
First-principles (GGA-PBE) data for Cs3UCd2Se6 after structural relaxation, as listed in the Alexandria database.

```
Cs3UCd2Se6
1.0
-1.335 -4.929 5.332
-0.473 -1.826 -7.138
8.650 0.026 0.604
Se Cd Cs U
6 2 3 1
direct
0.386 0.068 0.181
0.932 0.614 0.819
0.068 0.386 0.181
0.750 0.750 0.193
0.250 0.250 0.807
0.614 0.932 0.819
0.666 0.334 0.000
0.334 0.666 0.000
0.500 0.500 0.500
0.174 0.826 0.500
0.826 0.174 0.500
0.000 0.000 0.000
```

Calculated values
SG   C2/m
Magnetization   1.0 μB/cell
Formation energy without anion corrections   -1115 kJ/mol of formula units

***

No. 4
First-principles (GGA-PBE) data for UZn2Co2C after structural relaxation, as listed in the Alexandria database.

```
UZn2Co2C
1.0
-0.391 0.930 3.427
-2.797 -2.205 0.279
5.914 -4.601 0.061
Co U Zn C
2 1 2 1
direct
0.125 0.125 0.250
0.875 0.875 0.750
0.500 0.500 0.000
0.250 0.750 0.500
0.750 0.250 0.500
0.000 0.000 0.000
```

Calculated values
DFT formation energy   1.234 eV/f.u.
SG   I4/mmm
Magnetization   2.8 μB/cell

***

No. 5
First-principles (GGA-PBE) data for Ba3Cu4Pd4 after structural relaxation, as listed in the Alexandria database.

```
Ba3Cu4Pd4
1.0
6.912 0.000 0.000
-2.304 6.517 0.000
-2.304 -3.258 5.644
Ba Pd Cu
3 4 4
direct
0.000 0.500 0.500
0.500 0.500 0.000
0.500 0.000 0.500
0.252 0.000 0.000
0.000 0.252 0.000
0.000 0.000 0.252
0.748 0.748 0.748
0.617 0.000 0.000
0.000 0.617 0.000
0.383 0.383 0.383
0.000 0.000 0.617
```

Calculated values
DFT formation energy   -2.970 eV/f.u.
SG   I-43m
Magnetization   0.0 μB/cell